First-principles (PBE-GGA) data for a relaxed RbTlP2Pt4 crystal, as listed in the Alexandria database.

Properties
* E: -41.8 eV per cell
* total magnetization: 0.00 μB per cell
* symmetry: P4/mmm (123)
* calculated formation energy: -3.53 eV per formula unit
* volume: 179.8 Å³/cell

Geometry as CIF:
```
data_RbTlP2Pt4
_cell_length_a 3.992
_cell_length_b 3.992
_cell_length_c 11.284
_cell_angle_alpha 90.00
_cell_angle_beta 90.00
_cell_angle_gamma 90.00
_space_group_name_H-M_alt 'P 1'
_space_group_IT_number 1
_space_group_name_Hall 'P 1'
loop_
_atom_site_label
_atom_site_type_symbol
_atom_site_fract_x
_atom_site_fract_y
_atom_site_fract_z
Rb1 Rb 0.000 0.000 0.000
Tl1 Tl 0.000 0.000 0.500
P1 P 0.500 0.500 0.192
P2 P 0.500 0.500 0.808
Pt1 Pt 0.000 0.500 0.297
Pt2 Pt 0.000 0.500 0.703
Pt3 Pt 0.500 0.000 0.297
Pt4 Pt 0.500 0.000 0.703
```

First-principles (PBE-GGA) data for a relaxed PmSn2 crystal, as listed in the Alexandria database.

Properties
* E: -27.5 eV per cell
* distance to the lowest polymorph of the same formula: 307.5 meV per atom
* total magnetization: 0.76 μB per cell
* symmetry: Fd-3m (227)
* calculated formation energy: -0.99 eV per formula unit
* volume: 169.1 Å³/cell

Geometry as CIF:
```
data_PmSn2
_cell_length_a 6.207
_cell_length_b 6.207
_cell_length_c 6.207
_cell_angle_alpha 60.00
_cell_angle_beta 60.00
_cell_angle_gamma 60.00
_space_group_name_H-M_alt 'P 1'
_space_group_IT_number 1
_space_group_name_Hall 'P 1'
loop_
_atom_site_label
_atom_site_type_symbol
_atom_site_fract_x
_atom_site_fract_y
_atom_site_fract_z
Pm1 Pm 0.125 0.125 0.125
Pm2 Pm 0.875 0.875 0.875
Sn1 Sn 0.000 0.500 0.500
Sn2 Sn 0.500 0.000 0.500
Sn3 Sn 0.500 0.500 0.000
Sn4 Sn 0.500 0.500 0.500
```

First-principles (PBE-GGA) data for a relaxed Re3SnH crystal, as listed in the Alexandria database.

Properties
* E: -41.6 eV per cell
* distance to the lowest polymorph of the same formula: 0.0 meV per atom
* total magnetization: 0.00 μB per cell
* symmetry: Pm-3m (221)
* volume: 67.2 Å³/cell

Geometry as CIF:
```
data_Re3SnH
_cell_length_a 4.065
_cell_length_b 4.065
_cell_length_c 4.065
_cell_angle_alpha 90.00
_cell_angle_beta 90.00
_cell_angle_gamma 90.00
_space_group_name_H-M_alt 'P 1'
_space_group_IT_number 1
_space_group_name_Hall 'P 1'
loop_
_atom_site_label
_atom_site_type_symbol
_atom_site_fract_x
_atom_site_fract_y
_atom_site_fract_z
Re1 Re 0.000 0.000 0.500
Re2 Re 0.000 0.500 0.000
Re3 Re 0.500 0.000 0.000
Sn1 Sn 0.500 0.500 0.500
H1 H 0.000 0.000 0.000
```

First-principles (PBE-GGA) data for a relaxed ErTmSnAu crystal, as listed in the Alexandria database.

Properties
* E: -19.1 eV per cell
* total magnetization: 0.32 μB per cell
* symmetry: F-43m (216)
* calculated formation energy: -2.78 eV per formula unit
* volume: 97.4 Å³/cell

Geometry as CIF:
```
data_ErTmSnAu
_cell_length_a 5.164
_cell_length_b 5.164
_cell_length_c 5.164
_cell_angle_alpha 60.00
_cell_angle_beta 60.00
_cell_angle_gamma 60.00
_space_group_name_H-M_alt 'P 1'
_space_group_IT_number 1
_space_group_name_Hall 'P 1'
loop_
_atom_site_label
_atom_site_type_symbol
_atom_site_fract_x
_atom_site_fract_y
_atom_site_fract_z
Er1 Er 0.000 0.000 0.000
Tm1 Tm 0.500 0.500 0.500
Sn1 Sn 0.250 0.250 0.250
Au1 Au 0.750 0.750 0.750
```

First-principles (PBE-GGA) data for a relaxed LiAc2Sn3Rh4 crystal, as listed in the Alexandria database.

Properties
* E: -58.4 eV per cell
* total magnetization: 0.00 μB per cell
* symmetry: P-4m2 (115)
* calculated formation energy: -6.87 eV per formula unit
* volume: 222.1 Å³/cell

Geometry as CIF:
```
data_LiAc2Sn3Rh4
_cell_length_a 4.397
_cell_length_b 4.397
_cell_length_c 11.489
_cell_angle_alpha 90.00
_cell_angle_beta 90.00
_cell_angle_gamma 90.00
_space_group_name_H-M_alt 'P 1'
_space_group_IT_number 1
_space_group_name_Hall 'P 1'
loop_
_atom_site_label
_atom_site_type_symbol
_atom_site_fract_x
_atom_site_fract_y
_atom_site_fract_z
Li1 Li 0.000 0.000 0.000
Ac1 Ac 0.000 0.500 0.758
Ac2 Ac 0.500 0.000 0.242
Sn1 Sn 0.000 0.500 0.374
Sn2 Sn 0.500 0.000 0.626
Sn3 Sn 0.500 0.500 0.000
Rh1 Rh 0.000 0.000 0.500
Rh2 Rh 0.000 0.500 0.140
Rh3 Rh 0.500 0.000 0.860
Rh4 Rh 0.500 0.500 0.500
```

First-principles (PBE-GGA) data for a relaxed NbVB3 crystal, as listed in the Alexandria database.

Properties
* E: -35.3 eV per cell
* distance to the lowest polymorph of the same formula: 1558.1 meV per atom
* total magnetization: 0.00 μB per cell
* symmetry: Pm-3m (221)
* calculated formation energy: 3.95 eV per formula unit
* volume: 56.8 Å³/cell

Geometry as CIF:
```
data_NbVB3
_cell_length_a 3.843
_cell_length_b 3.843
_cell_length_c 3.843
_cell_angle_alpha 90.00
_cell_angle_beta 90.00
_cell_angle_gamma 90.00
_space_group_name_H-M_alt 'P 1'
_space_group_IT_number 1
_space_group_name_Hall 'P 1'
loop_
_atom_site_label
_atom_site_type_symbol
_atom_site_fract_x
_atom_site_fract_y
_atom_site_fract_z
Nb1 Nb 0.000 0.000 0.000
V1 V 0.500 0.500 0.500
B1 B 0.000 0.500 0.500
B2 B 0.500 0.000 0.500
B3 B 0.500 0.500 0.000
```